[1]
VASP calculation (PBE) on NdSm4Ga4 after structural relaxation.

Geometry as POSCAR:
```
NdSm4Ga4
1.0
7.2699 0.0000 0.0000
0.0000 7.2699 0.0000
0.0000 0.0000 9.9755
Ga Sm Nd
8 8 2
Cartesian
6.0277 3.6350 1.4537 Ga
3.6350 1.2422 8.5217 Ga
1.2422 3.6350 1.4537 Ga
0.0000 2.3928 6.4414 Ga
0.0000 4.8771 6.4414 Ga
4.8771 0.0000 3.5340 Ga
3.6350 6.0277 8.5217 Ga
2.3928 0.0000 3.5340 Ga
0.0000 1.7640 3.5163 Sm
5.3989 3.6350 8.5040 Sm
3.6350 1.8710 1.4714 Sm
5.5059 0.0000 6.4591 Sm
1.7640 0.0000 6.4591 Sm
0.0000 5.5059 3.5163 Sm
3.6350 5.3989 1.4714 Sm
1.8710 3.6350 8.5040 Sm
3.6350 3.6350 4.9877 Nd
0.0000 0.0000 0.0000 Nd
```

Summary:
ρ	6.5	g cm⁻³


[2]
VASP calculation (PBE) on Nd8Sm2Ga after structural relaxation.

Geometry as POSCAR:
```
Nd8Sm2Ga
1.0
5.6066 0.0000 0.0000
0.0000 7.8185 0.0305
-2.8033 -3.3353 8.4277
Nd Sm Ga
8 2 1
Cartesian
2.8033 6.1326 2.6115 Nd
0.0000 0.4999 3.0783 Nd
2.8033 3.9833 5.3798 Nd
0.0000 1.9389 6.6517 Nd
0.0000 -1.6494 5.8466 Nd
0.0000 5.9496 0.2147 Nd
2.8033 -1.4664 8.2435 Nd
2.8033 2.5443 1.8065 Nd
0.0000 3.9276 3.1934 Sm
2.8033 0.5556 5.2647 Sm
2.8033 0.0000 0.0000 Ga
```

Summary:
ρ	6.8	g cm⁻³


[3]
VASP calculation (PBE) on NdSm7Ga4 after structural relaxation.

Geometry as POSCAR:
```
NdSm7Ga4
1.0
5.6070 0.0000 0.0000
2.8035 8.7376 0.3191
2.8035 0.5951 6.9000
Nd Sm Ga
1 7 4
Cartesian
0.0000 0.0000 0.0000 Nd
2.8035 5.4975 1.9748 Sm
8.4105 7.9944 3.9705 Sm
5.6070 6.0700 5.4804 Sm
2.8035 0.0000 0.0000 Sm
8.4105 3.8351 5.2443 Sm
2.8035 1.3382 3.2486 Sm
5.6070 3.2626 1.7386 Sm
5.6070 2.5059 4.5687 Ga
2.8035 2.9053 0.3098 Ga
8.4105 6.4273 6.9093 Ga
5.6070 6.8267 2.6504 Ga
```

Summary:
ρ	7.3	g cm⁻³


[4]
VASP calculation (PBE) on NdSmGaSn after structural relaxation.

Geometry as POSCAR:
```
NdSmGaSn
1.0
-4.5311 2.7737 0.6248
-4.6330 -2.5736 0.7256
-2.4165 0.1360 4.7704
Sn Ga Nd Sm
1 1 1 1
Cartesian
-2.8951 0.0840 1.5302 Sn
-8.6854 0.2521 4.5906 Ga
0.0000 0.0000 0.0000 Nd
-5.7903 0.1680 3.0604 Sm
```

Summary:
ρ	7.4	g cm⁻³
distance to the lowest polymorph of the same formula	0.1483	eV/atom


Across the entries above, formation energy takes the values -7.07 -0.07 -4.60 -12.98 kcal/mol of atoms, respectively.